Below is a geometry-optimized PmSmSbO6 structure, with properties calculated at the PBE-GGA level.

Values from the calculation:
D(E_F) in states/eV/f.u.: 4.815
Energy relative to the elements, uncorrected in eV/atom: -2.353
SG: P-31c (163)

Unit cell a=5.7820 b=5.7820 c=9.4697 alpha=90.00 beta=90.00 gamma=120.00
Sites, in units of the cell vectors:
Pm 0.0000 0.0000 0.0000
Pm 0.0000 0.0000 0.5000
Sm 0.3333 0.6667 0.2500
Sm 0.6667 0.3333 0.7500
Sb 0.3333 0.6667 0.7500
Sb 0.6667 0.3333 0.2500
O 0.0447 0.3699 0.6345
O 0.0447 0.6748 0.8655
O 0.3252 0.3699 0.8655
O 0.3252 0.9553 0.6345
O 0.3699 0.0447 0.1345
O 0.3699 0.3252 0.3655
O 0.6301 0.6748 0.6345
O 0.6301 0.9553 0.8655
O 0.6748 0.0447 0.3655
O 0.6748 0.6301 0.1345
O 0.9553 0.3252 0.1345
O 0.9553 0.6301 0.3655